No. 1
Below is crystalline Dy2Ni2Ag3 at its relaxed geometry, with properties calculated at the PBE-GGA level.

## Properties
The value obtained for the formation energy is -2.2 eV/f.u. Its total DFT energy (no corrections) is -4.51 eV per atom. As for the density of states at the Fermi level: 2.72 states/eV/cell.

Lattice parameters (Å, degrees): 9.9223 9.9223 3.5870 90.00 90.00 157.60
Last column: nearest neighbours and their distance in Å.
Positions (direct):
1 Dy 0.1648 0.8352 0.0000  6 Ni 2.80-2.97
2 Dy 0.8352 0.1648 0.0000  6 Ni 2.80-2.97
3 Ni 0.2864 0.7136 0.5000  2 Ni 2.39
4 Ni 0.7136 0.2864 0.5000  2 Ni 2.39
5 Ag 0.0000 0.0000 0.0000  8 Ag 2.98, 2 Dy 3.21
6 Ag 0.4279 0.5721 0.5000  1 Ni 2.75, 5 Ag 2.81-2.98
7 Ag 0.5721 0.4279 0.5000  1 Ni 2.75, 5 Ag 2.81-2.98

=====

No. 2
Below is crystalline DyNiAgPb at its relaxed geometry, with properties calculated at the PBE-GGA level.

## Properties
The value obtained for the formation energy is -0.8 eV/f.u. Its total DFT energy (no corrections) is -4.44 eV per atom. As for the density of states at the Fermi level: 2.97 states/eV/cell.

Lattice parameters (Å, degrees): 4.8609 4.8609 4.8609 60.00 60.00 60.00
Last column: nearest neighbours and their distance in Å.
Positions (direct):
1 Dy 0.0000 0.0000 0.0000  4 Ni 2.98, 4 Ag 2.98
2 Ni 0.7500 0.7500 0.7500  4 Dy 2.98, 4 Pb 2.98
3 Ag 0.2500 0.2500 0.2500  4 Pb 2.98, 4 Dy 2.98
4 Pb 0.5000 0.5000 0.5000  4 Ni 2.98, 4 Ag 2.98

=====

No. 3
Below is crystalline PmDyNiAg at its relaxed geometry, with properties calculated at the PBE-GGA level.

## Properties
The value obtained for the formation energy is -1.1 eV/f.u. Its total DFT energy (no corrections) is -4.76 eV per atom. As for the density of states at the Fermi level: 2.65 states/eV/cell.

Lattice parameters (Å, degrees): 5.0423 5.0423 5.0423 60.00 60.00 60.00
Last column: nearest neighbours and their distance in Å.
Positions (direct):
1 Pm 0.0000 0.0000 0.0000  4 Ni 3.09, 4 Ag 3.09
2 Dy 0.5000 0.5000 0.5000  4 Ag 3.09, 4 Ni 3.09
3 Ni 0.7500 0.7500 0.7500  4 Dy 3.09, 4 Pm 3.09
4 Ag 0.2500 0.2500 0.2500  4 Dy 3.09, 4 Pm 3.09

=====

No. 4
Below is crystalline PrDyNiAg at its relaxed geometry, with properties calculated at the PBE-GGA level.

## Properties
The value obtained for the formation energy is -1.0 eV/f.u. Its total DFT energy (no corrections) is -4.74 eV per atom. As for the density of states at the Fermi level: 2.47 states/eV/cell.

Lattice parameters (Å, degrees): 5.0832 5.0832 5.0832 60.00 60.00 60.00
Last column: nearest neighbours and their distance in Å.
Positions (direct):
1 Pr 0.0000 0.0000 0.0000  4 Ag 3.11, 4 Ni 3.11
2 Dy 0.5000 0.5000 0.5000  4 Ag 3.11, 4 Ni 3.11
3 Ni 0.2500 0.2500 0.2500  4 Dy 3.11, 4 Pr 3.11
4 Ag 0.7500 0.7500 0.7500  4 Dy 3.11, 4 Pr 3.11

=====

No. 5
Below is crystalline DyScNiAg at its relaxed geometry, with properties calculated at the PBE-GGA level.

## Properties
The value obtained for the formation energy is -1.2 eV/f.u. Its total DFT energy (no corrections) is -5.19 eV per atom. As for the density of states at the Fermi level: 3.32 states/eV/cell.

Lattice parameters (Å, degrees): 4.8359 4.8359 4.8359 60.00 60.00 60.00
Last column: nearest neighbours and their distance in Å.
Positions (direct):
1 Dy 0.0000 0.0000 0.0000  4 Ni 2.96, 4 Ag 2.96
2 Sc 0.5000 0.5000 0.5000  4 Ni 2.96, 4 Ag 2.96
3 Ni 0.7500 0.7500 0.7500  4 Dy 2.96, 4 Sc 2.96
4 Ag 0.2500 0.2500 0.2500  4 Dy 2.96, 4 Sc 2.96

=====

No. 6
Below is crystalline DyNiAgSn at its relaxed geometry, with properties calculated at the PBE-GGA level.

## Properties
The value obtained for the formation energy is -1.5 eV/f.u. Its total DFT energy (no corrections) is -4.69 eV per atom. As for the density of states at the Fermi level: 2.57 states/eV/cell.

Lattice parameters (Å, degrees): 4.7794 4.7794 4.7794 60.00 60.00 60.00
Last column: nearest neighbours and their distance in Å.
Positions (direct):
1 Dy 0.0000 0.0000 0.0000  4 Ni 2.93, 4 Ag 2.93
2 Ni 0.7500 0.7500 0.7500  4 Dy 2.93, 4 Sn 2.93
3 Ag 0.2500 0.2500 0.2500  4 Dy 2.93, 4 Sn 2.93
4 Sn 0.5000 0.5000 0.5000  4 Ni 2.93, 4 Ag 2.93

=====

What is the formula in the fourth record?
PrDyNiAg